(1)
# ZrTeRh2 | Alexandria | PBE-GGA | relaxed
# Raw total energy, eV per atom: -7.090
# Excess energy over the best structure of this formula in the dataset, meV/atom: 40.5
# Space group: Cm, No. 8
# Formation energy without anion corrections, kJ/mol of formula units: -190
data_ZrTeRh2
_cell_length_a 5.0868
_cell_length_b 5.0868
_cell_length_c 4.1577
_cell_angle_alpha 72.37
_cell_angle_beta 72.37
_cell_angle_gamma 45.35
_space_group_name_H-M_alt 'P 1'
_space_group_IT_number 1
loop_
_space_group_symop_operation_xyz
'x,y,z'
loop_
_atom_site_label
_atom_site_fract_x
_atom_site_fract_y
_atom_site_fract_z
_atom_site_occupancy
Te1 0.4934 0.4934 0.5528 1
Zr1 0.2479 0.2479 0.2271 1
Rh1 0.0004 0.0004 0.0274 1
Rh2 0.7582 0.7582 0.6927 1

(2)
# ZrTc2 | Alexandria | PBE-GGA | relaxed
# Raw total energy, eV per atom: -9.815
# Excess energy over the best structure of this formula in the dataset, meV/atom: 256.3
# Energy of formation from the pure elements, eV/f.u.: -0.2
# Space group: C2/m, No. 12
data_ZrTc2
_cell_length_a 5.3821
_cell_length_b 5.3821
_cell_length_c 6.5121
_cell_angle_alpha 71.09
_cell_angle_beta 71.09
_cell_angle_gamma 34.62
_space_group_name_H-M_alt 'P 1'
_space_group_IT_number 1
loop_
_space_group_symop_operation_xyz
'x,y,z'
loop_
_atom_site_label
_atom_site_fract_x
_atom_site_fract_y
_atom_site_fract_z
_atom_site_occupancy
Tc1 0.4981 0.4981 0.2606 1
Tc2 0.1586 0.1586 0.4204 1
Tc3 0.8414 0.8414 0.5796 1
Zr1 0.8355 0.8355 0.0961 1
Tc4 0.5019 0.5019 0.7394 1
Zr2 0.1645 0.1645 0.9039 1

(3)
# KTaSe2 | Alexandria | PBE-GGA | relaxed
# Raw total energy, eV per atom: -5.389
# Space group: P4mm, No. 99
# Formation energy without anion corrections, kJ/mol of formula units: -158
data_KTaSe2
_cell_length_a 3.5511
_cell_length_b 3.5511
_cell_length_c 8.4878
_cell_angle_alpha 90.00
_cell_angle_beta 90.00
_cell_angle_gamma 90.00
_space_group_name_H-M_alt 'P 1'
_space_group_IT_number 1
loop_
_space_group_symop_operation_xyz
'x,y,z'
loop_
_atom_site_label
_atom_site_fract_x
_atom_site_fract_y
_atom_site_fract_z
_atom_site_occupancy
Se1 0.5000 0.5000 0.4107 1
K1 0.5000 0.5000 0.7859 1
Ta1 0.0000 0.0000 0.2913 1
Se2 0.0000 0.0000 0.0121 1

(4)
# Ac2TlC2 | Alexandria | PBE-GGA | relaxed
# Raw total energy, eV per atom: -5.959
# Energy of formation from the pure elements, eV/f.u.: -0.8
# Space group: C2/c, No. 15
data_Ac2TlC2
_cell_length_a 4.2327
_cell_length_b 7.4767
_cell_length_c 9.0722
_cell_angle_alpha 107.76
_cell_angle_beta 103.49
_cell_angle_gamma 90.00
_space_group_name_H-M_alt 'P 1'
_space_group_IT_number 1
loop_
_space_group_symop_operation_xyz
'x,y,z'
loop_
_atom_site_label
_atom_site_fract_x
_atom_site_fract_y
_atom_site_fract_z
_atom_site_occupancy
Tl1 0.0108 0.2500 0.0000 1
Ac1 0.1870 0.8890 0.6941 1
Ac2 0.4929 0.6110 0.3059 1
C1 0.8999 0.4716 0.5364 1
Ac3 0.5071 0.3890 0.6941 1
C2 0.1001 0.5284 0.4636 1
Ac4 0.8130 0.1110 0.3059 1
C3 0.3635 0.0284 0.4636 1
Tl2 0.9892 0.7500 0.0000 1
C4 0.6365 0.9716 0.5364 1

(5)
# KRb2Bi2Pb | Alexandria | PBE-GGA | relaxed
# Raw total energy, eV per atom: -2.724
# Energy of formation from the pure elements, eV/f.u.: -1.8
# Space group: Ibam, No. 72
data_KRb2Bi2Pb
_cell_length_a 8.1897
_cell_length_b 7.7696
_cell_length_c 10.4105
_cell_angle_alpha 111.91
_cell_angle_beta 113.16
_cell_angle_gamma 90.00
_space_group_name_H-M_alt 'P 1'
_space_group_IT_number 1
loop_
_space_group_symop_operation_xyz
'x,y,z'
loop_
_atom_site_label
_atom_site_fract_x
_atom_site_fract_y
_atom_site_fract_z
_atom_site_occupancy
K1 0.0000 0.7500 0.0000 1
Rb1 0.0960 0.3253 0.6506 1
Bi1 0.3960 0.6079 0.2157 1
Rb2 0.4454 0.1747 0.3494 1
Rb3 0.5546 0.8253 0.6506 1
Bi2 0.6040 0.3921 0.7843 1
Bi3 0.8197 0.1079 0.2157 1
K2 0.0000 0.2500 0.0000 1
Bi4 0.1803 0.8921 0.7843 1
Pb1 0.5000 0.7500 0.0000 1
Rb4 0.9040 0.6747 0.3494 1
Pb2 0.5000 0.2500 0.0000 1

(6)
# Pm4SmCo4 | Alexandria | PBE-GGA | relaxed
# Raw total energy, eV per atom: -5.776
# Energy of formation from the pure elements, eV/f.u.: 0.2
# Space group: P4_2/n, No. 86
data_Pm4SmCo4
_cell_length_a 5.7537
_cell_length_b 8.5532
_cell_length_c 8.5532
_cell_angle_alpha 90.00
_cell_angle_beta 90.00
_cell_angle_gamma 90.00
_space_group_name_H-M_alt 'P 1'
_space_group_IT_number 1
loop_
_space_group_symop_operation_xyz
'x,y,z'
loop_
_atom_site_label
_atom_site_fract_x
_atom_site_fract_y
_atom_site_fract_z
_atom_site_occupancy
Pm1 0.3810 0.6924 0.0739 1
Pm2 0.8810 0.4261 0.1924 1
Co1 0.8582 0.2630 0.8619 1
Co2 0.3582 0.6381 0.7630 1
Pm3 0.6190 0.0739 0.3076 1
Pm4 0.8810 0.5739 0.8076 1
Pm5 0.3810 0.3076 0.9261 1
Co3 0.3582 0.3619 0.2370 1
Co4 0.8582 0.7370 0.1381 1
Sm1 0.5000 0.5000 0.5000 1
Pm6 0.1190 0.8076 0.4261 1
Pm7 0.6190 0.9261 0.6924 1
Pm8 0.1190 0.1924 0.5739 1
Co5 0.1418 0.8619 0.7370 1
Co6 0.6418 0.2370 0.6381 1
Co7 0.6418 0.7630 0.3619 1
Co8 0.1418 0.1381 0.2630 1
Sm2 0.0000 0.0000 0.0000 1

(7)
# KMnCl3 | Alexandria | PBE-GGA | relaxed
# Raw total energy, eV per atom: -4.573
# Space group: C2/m, No. 12
# Formation energy without anion corrections, kJ/mol of formula units: -681
data_KMnCl3
_cell_length_a 16.9196
_cell_length_b 6.7656
_cell_length_c 6.7656
_cell_angle_alpha 135.13
_cell_angle_beta 143.51
_cell_angle_gamma 36.49
_space_group_name_H-M_alt 'P 1'
_space_group_IT_number 1
loop_
_space_group_symop_operation_xyz
'x,y,z'
loop_
_atom_site_label
_atom_site_fract_x
_atom_site_fract_y
_atom_site_fract_z
_atom_site_occupancy
Mn1 0.0840 0.0468 0.9532 1
Cl1 0.3615 0.7828 0.2172 1
Cl2 0.9423 0.4001 0.5999 1
Cl3 0.1826 0.7372 0.2628 1
Cl4 0.6385 0.2172 0.7828 1
Cl5 0.8174 0.2628 0.7372 1
Cl6 0.0577 0.5999 0.4001 1
Mn2 0.9160 0.9532 0.0468 1
K1 0.3811 0.0063 0.9937 1
K2 0.6189 0.9937 0.0063 1

(8)
# SrBePt | Alexandria | PBE-GGA | relaxed
# Raw total energy, eV per atom: -4.428
# Excess energy over the best structure of this formula in the dataset, meV/atom: 0.0
# Energy of formation from the pure elements, eV/f.u.: -1.8
# Space group: P-6m2, No. 187
data_SrBePt
_cell_length_a 3.9719
_cell_length_b 3.9719
_cell_length_c 4.6666
_cell_angle_alpha 90.00
_cell_angle_beta 90.00
_cell_angle_gamma 120.00
_space_group_name_H-M_alt 'P 1'
_space_group_IT_number 1
loop_
_space_group_symop_operation_xyz
'x,y,z'
loop_
_atom_site_label
_atom_site_fract_x
_atom_site_fract_y
_atom_site_fract_z
_atom_site_occupancy
Be1 0.0000 0.0000 0.1668 1
Pt1 0.6667 0.3333 0.1667 1
Sr1 0.3333 0.6667 0.6666 1

(9)
# PmY2Er3 | Alexandria | PBE-GGA | relaxed
# Raw total energy, eV per atom: -5.221
# Excess energy over the best structure of this formula in the dataset, meV/atom: 0.0
# Energy of formation from the pure elements, eV/f.u.: 0.0
# Space group: P-1, No. 2
data_PmY2Er3
_cell_length_a 6.7122
_cell_length_b 7.2567
_cell_length_c 9.5924
_cell_angle_alpha 100.95
_cell_angle_beta 114.12
_cell_angle_gamma 105.66
_space_group_name_H-M_alt 'P 1'
_space_group_IT_number 1
loop_
_space_group_symop_operation_xyz
'x,y,z'
loop_
_atom_site_label
_atom_site_fract_x
_atom_site_fract_y
_atom_site_fract_z
_atom_site_occupancy
Er1 0.7464 0.9702 0.6381 1
Er2 0.2483 0.1941 0.0286 1
Y1 0.2446 0.3595 0.6915 1
Pm1 0.7484 0.3046 0.9701 1
Y2 0.7554 0.6405 0.3085 1
Er3 0.2536 0.0298 0.3619 1
Er4 0.7457 0.4718 0.6382 1
Y3 0.7526 0.1398 0.3065 1
Y4 0.2474 0.8602 0.6935 1
Er5 0.2543 0.5282 0.3618 1
Pm2 0.2516 0.6954 0.0299 1
Er6 0.7517 0.8059 0.9714 1

(10)
# Tl3SnCl2F6 | Alexandria | PBE-GGA | relaxed
# Raw total energy, eV per atom: -3.992
# Space group: C2/m, No. 12
# Formation energy without anion corrections, kJ/mol of formula units: -2111
data_Tl3SnCl2F6
_cell_length_a 5.2232
_cell_length_b 7.1898
_cell_length_c 8.1710
_cell_angle_alpha 116.10
_cell_angle_beta 83.33
_cell_angle_gamma 90.00
_space_group_name_H-M_alt 'P 1'
_space_group_IT_number 1
loop_
_space_group_symop_operation_xyz
'x,y,z'
loop_
_atom_site_label
_atom_site_fract_x
_atom_site_fract_y
_atom_site_fract_z
_atom_site_occupancy
Tl1 0.5000 0.0000 0.5000 1
Tl2 0.5000 0.5000 0.5000 1
Sn1 0.5000 0.0000 0.0000 1
Tl3 0.0000 0.5000 0.0000 1
F1 0.2909 0.1542 0.8996 1
Cl1 0.9472 0.3216 0.6431 1
F2 0.2877 0.1234 0.2468 1
F3 0.7091 0.8458 0.1004 1
F4 0.2909 0.7455 0.8996 1
Cl2 0.0528 0.6784 0.3569 1
F5 0.7091 0.2545 0.1004 1
F6 0.7123 0.8766 0.7532 1

(11)
# Rb2Cd2Ag3 | Alexandria | PBE-GGA | relaxed
# Raw total energy, eV per atom: -1.739
# Excess energy over the best structure of this formula in the dataset, meV/atom: 58.2
# Energy of formation from the pure elements, eV/f.u.: 0.1
# Space group: C2/m, No. 12
data_Rb2Cd2Ag3
_cell_length_a 5.0825
_cell_length_b 6.7483
_cell_length_c 7.7399
_cell_angle_alpha 121.03
_cell_angle_beta 90.00
_cell_angle_gamma 112.12
_space_group_name_H-M_alt 'P 1'
_space_group_IT_number 1
loop_
_space_group_symop_operation_xyz
'x,y,z'
loop_
_atom_site_label
_atom_site_fract_x
_atom_site_fract_y
_atom_site_fract_z
_atom_site_occupancy
Ag1 0.4144 0.8287 0.5786 1
Rb1 0.1697 0.3394 0.7856 1
Ag2 0.5856 0.1713 0.4214 1
Ag3 0.5000 0.0000 0.0000 1
Cd1 0.8717 0.7434 0.7452 1
Cd2 0.1283 0.2566 0.2548 1
Rb2 0.8303 0.6606 0.2144 1

(12)
# TcAgIN2 | Alexandria | PBE-GGA | relaxed
# Raw total energy, eV per atom: -4.024
# Excess energy over the best structure of this formula in the dataset, meV/atom: 1566.3
# Space group: P4/mmm, No. 123
# Formation energy without anion corrections, kJ/mol of formula units: 1090
data_TcAgIN2
_cell_length_a 4.0814
_cell_length_b 4.0814
_cell_length_c 7.0918
_cell_angle_alpha 90.00
_cell_angle_beta 90.00
_cell_angle_gamma 90.00
_space_group_name_H-M_alt 'P 1'
_space_group_IT_number 1
loop_
_space_group_symop_operation_xyz
'x,y,z'
loop_
_atom_site_label
_atom_site_fract_x
_atom_site_fract_y
_atom_site_fract_z
_atom_site_occupancy
Tc1 0.5000 0.5000 0.5000 1
N1 0.5000 0.0000 0.0000 1
Ag1 0.0000 0.0000 0.0000 1
I1 0.0000 0.0000 0.5000 1
N2 0.0000 0.5000 0.0000 1

(13)
# YSnRuC2 | Alexandria | PBE-GGA | relaxed
# Raw total energy, eV per atom: -5.200
# Energy of formation from the pure elements, eV/f.u.: 12.2
# Space group: P4/mmm, No. 123
data_YSnRuC2
_cell_length_a 4.2173
_cell_length_b 4.2173
_cell_length_c 5.9861
_cell_angle_alpha 90.00
_cell_angle_beta 90.00
_cell_angle_gamma 90.00
_space_group_name_H-M_alt 'P 1'
_space_group_IT_number 1
loop_
_space_group_symop_operation_xyz
'x,y,z'
loop_
_atom_site_label
_atom_site_fract_x
_atom_site_fract_y
_atom_site_fract_z
_atom_site_occupancy
Ru1 0.5000 0.5000 0.5000 1
C1 0.0000 0.5000 0.0000 1
Y1 0.0000 0.0000 0.5000 1
C2 0.5000 0.0000 0.0000 1
Sn1 0.0000 0.0000 0.0000 1

(14)
# NaDy2Tc | Alexandria | PBE-GGA | relaxed
# Raw total energy, eV per atom: -4.991
# Excess energy over the best structure of this formula in the dataset, meV/atom: 237.8
# Energy of formation from the pure elements, eV/f.u.: 0.9
# Space group: R-3m, No. 166
data_NaDy2Tc
_cell_length_a 3.4703
_cell_length_b 3.4703
_cell_length_c 11.2621
_cell_angle_alpha 81.14
_cell_angle_beta 81.14
_cell_angle_gamma 60.00
_space_group_name_H-M_alt 'P 1'
_space_group_IT_number 1
loop_
_space_group_symop_operation_xyz
'x,y,z'
loop_
_atom_site_label
_atom_site_fract_x
_atom_site_fract_y
_atom_site_fract_z
_atom_site_occupancy
Dy1 0.1071 0.1071 0.6788 1
Na1 0.0000 0.0000 0.0000 1
Tc1 0.5000 0.5000 0.5000 1
Dy2 0.8929 0.8929 0.3212 1

(15)
# Pm8Si3H2 | Alexandria | PBE-GGA | relaxed
# Raw total energy, eV per atom: -4.975
# Space group: R-3m, No. 166
data_Pm8Si3H2
_cell_length_a 6.6069
_cell_length_b 6.6069
_cell_length_c 9.4174
_cell_angle_alpha 69.46
_cell_angle_beta 69.46
_cell_angle_gamma 60.00
_space_group_name_H-M_alt 'P 1'
_space_group_IT_number 1
loop_
_space_group_symop_operation_xyz
'x,y,z'
loop_
_atom_site_label
_atom_site_fract_x
_atom_site_fract_y
_atom_site_fract_z
_atom_site_occupancy
Pm1 0.7332 0.2182 0.3153 1
Pm2 0.2668 0.2668 0.6847 1
Pm3 0.3134 0.3134 0.0597 1
H1 0.3976 0.3976 0.8073 1
Pm4 0.2668 0.7818 0.6847 1
Si1 0.0000 0.0000 0.0000 1
Pm5 0.7818 0.2668 0.6847 1
Pm6 0.7332 0.7332 0.3153 1
Si2 0.7991 0.7991 0.6027 1
Pm7 0.2182 0.7332 0.3153 1
H2 0.6024 0.6024 0.1927 1
Pm8 0.6866 0.6866 0.9403 1
Si3 0.2009 0.2009 0.3973 1

(16)
# LiLa2Er | Alexandria | PBE-GGA | relaxed
# Raw total energy, eV per atom: -4.011
# Excess energy over the best structure of this formula in the dataset, meV/atom: 7.4
# Energy of formation from the pure elements, eV/f.u.: 0.3
# Space group: P4/mmm, No. 123
data_LiLa2Er
_cell_length_a 3.7138
_cell_length_b 3.7138
_cell_length_c 9.2248
_cell_angle_alpha 90.00
_cell_angle_beta 90.00
_cell_angle_gamma 90.00
_space_group_name_H-M_alt 'P 1'
_space_group_IT_number 1
loop_
_space_group_symop_operation_xyz
'x,y,z'
loop_
_atom_site_label
_atom_site_fract_x
_atom_site_fract_y
_atom_site_fract_z
_atom_site_occupancy
La1 0.0000 0.0000 0.7658 1
La2 0.0000 0.0000 0.2342 1
Li1 0.5000 0.5000 0.0000 1
Er1 0.5000 0.5000 0.5000 1

(17)
# AcSi2Pt6 | Alexandria | PBE-GGA | relaxed
# Raw total energy, eV per atom: -6.489
# Space group: P6/mmm, No. 191
# Formation energy without anion corrections, kJ/mol of formula units: -695
data_AcSi2Pt6
_cell_length_a 5.6876
_cell_length_b 5.6876
_cell_length_c 6.4061
_cell_angle_alpha 90.00
_cell_angle_beta 90.00
_cell_angle_gamma 120.00
_space_group_name_H-M_alt 'P 1'
_space_group_IT_number 1
loop_
_space_group_symop_operation_xyz
'x,y,z'
loop_
_atom_site_label
_atom_site_fract_x
_atom_site_fract_y
_atom_site_fract_z
_atom_site_occupancy
Pt1 0.0000 0.4999 0.7734 1
Si1 0.6667 0.3333 0.5000 1
Ac1 0.0000 0.0000 0.0000 1
Si2 0.3333 0.6667 0.5000 1
Pt2 0.4999 0.4999 0.2266 1
Pt3 0.0000 0.5001 0.2266 1
Pt4 0.4999 0.0000 0.7734 1
Pt5 0.5001 0.5001 0.7734 1
Pt6 0.5001 0.0000 0.2266 1

(18)
# Tc2SbAs | Alexandria | PBE-GGA | relaxed
# Raw total energy, eV per atom: -7.103
# Excess energy over the best structure of this formula in the dataset, meV/atom: 266.6
# Space group: P2/m, No. 10
# Formation energy without anion corrections, kJ/mol of formula units: 105
data_Tc2SbAs
_cell_length_a 3.8026
_cell_length_b 3.1547
_cell_length_c 5.8900
_cell_angle_alpha 76.24
_cell_angle_beta 90.00
_cell_angle_gamma 90.00
_space_group_name_H-M_alt 'P 1'
_space_group_IT_number 1
loop_
_space_group_symop_operation_xyz
'x,y,z'
loop_
_atom_site_label
_atom_site_fract_x
_atom_site_fract_y
_atom_site_fract_z
_atom_site_occupancy
Tc1 0.0000 0.3874 0.4765 1
As1 0.5000 0.2500 0.2500 1
Tc2 0.0000 0.1126 0.0235 1
Sb1 0.5000 0.7500 0.7500 1

(19)
# Pu3SiO | Alexandria | PBE-GGA | relaxed
# Raw total energy, eV per atom: -11.690
# Space group: Pm-3m, No. 221
# Formation energy without anion corrections, kJ/mol of formula units: -490
data_Pu3SiO
_cell_length_a 4.7575
_cell_length_b 4.7575
_cell_length_c 4.7575
_cell_angle_alpha 90.00
_cell_angle_beta 90.00
_cell_angle_gamma 90.00
_space_group_name_H-M_alt 'P 1'
_space_group_IT_number 1
loop_
_space_group_symop_operation_xyz
'x,y,z'
loop_
_atom_site_label
_atom_site_fract_x
_atom_site_fract_y
_atom_site_fract_z
_atom_site_occupancy
Si1 0.5000 0.5000 0.5000 1
O1 0.0000 0.0000 0.0000 1
Pu1 0.0000 0.5000 0.0000 1
Pu2 0.5000 0.0000 0.0000 1
Pu3 0.0000 0.0000 0.5000 1